(1)
Here is a PBEsol-optimized structure of La3MgGa from the Alexandria database. Energies are from SCAN.

Values from the calculation:
For the total energy, the calculation gives -29.574 eV/atom. The symmetry is Pm-3m, No. 221. The calculation puts the calculated formation energy at 553 meV/atom. For the calculated density, the calculation gives 4.66 g cm⁻³. Its spin magnetization is 0.0 μB per formula unit. The value obtained for the density of states at the Fermi level is 11.66 states/eV/f.u.

The structure in CIF format:
```
data_La3MgGa
_space_group_name_H-M_alt 'P 1'
_space_group_IT_number 1
_cell_length_a 5.667
_cell_length_b 5.667
_cell_length_c 5.667
_cell_angle_alpha 90.00
_cell_angle_beta 90.00
_cell_angle_gamma 90.00
loop_
_space_group_symop_operation_xyz
'x,y,z'
loop_
_atom_site_label
_atom_site_type_symbol
_atom_site_fract_x
_atom_site_fract_y
_atom_site_fract_z
La1 La 0.000 0.000 0.500
La2 La 0.000 0.500 0.000
La3 La 0.500 0.000 0.000
Mg1 Mg 0.000 0.000 0.000
Ga1 Ga 0.500 0.500 0.500
```



(2)
Here is a PBEsol-optimized structure of La3MnGa from the Alexandria database. Energies are from SCAN.

Values from the calculation:
For the total energy, the calculation gives -32.827 eV/atom. The symmetry is Pm-3m, No. 221. The calculation puts the calculated formation energy at -44 meV/atom. For the calculated density, the calculation gives 6.77 g cm⁻³. Its spin magnetization is 0.0 μB per formula unit. The value obtained for the density of states at the Fermi level is 5.53 states/eV/f.u.

The structure in CIF format:
```
data_La3MnGa
_space_group_name_H-M_alt 'P 1'
_space_group_IT_number 1
_cell_length_a 5.101
_cell_length_b 5.101
_cell_length_c 5.101
_cell_angle_alpha 90.00
_cell_angle_beta 90.00
_cell_angle_gamma 90.00
loop_
_space_group_symop_operation_xyz
'x,y,z'
loop_
_atom_site_label
_atom_site_type_symbol
_atom_site_fract_x
_atom_site_fract_y
_atom_site_fract_z
La1 La 0.000 0.000 0.500
La2 La 0.000 0.500 0.000
La3 La 0.500 0.000 0.000
Mn1 Mn 0.000 0.000 0.000
Ga1 Ga 0.500 0.500 0.500
```



(3)
Here is a PBEsol-optimized structure of LaGaS2N from the Alexandria database. Energies are from SCAN.

Values from the calculation:
For the total energy, the calculation gives -17.483 eV/atom. The symmetry is P4/mmm, No. 123. For the calculated density, the calculation gives 3.56 g cm⁻³. Its spin magnetization is 2.3 μB per formula unit. The value obtained for the energy relative to the elements, uncorrected is 0.1165 eV/atom. The value obtained for the density of states at the Fermi level is 3.98 states/eV/f.u.

The structure in CIF format:
```
data_LaGaS2N
_space_group_name_H-M_alt 'P 1'
_space_group_IT_number 1
_cell_length_a 5.555
_cell_length_b 5.555
_cell_length_c 4.334
_cell_angle_alpha 90.00
_cell_angle_beta 90.00
_cell_angle_gamma 90.00
loop_
_space_group_symop_operation_xyz
'x,y,z'
loop_
_atom_site_label
_atom_site_type_symbol
_atom_site_fract_x
_atom_site_fract_y
_atom_site_fract_z
La1 La 0.000 0.000 0.000
Ga1 Ga 0.500 0.500 0.500
S1 S 0.000 0.500 0.000
S2 S 0.500 0.000 0.000
N1 N 0.000 0.000 0.500
```



(4)
Here is a PBEsol-optimized structure of LaGaTe2N from the Alexandria database. Energies are from SCAN.

Values from the calculation:
For the total energy, the calculation gives -28.914 eV/atom. The symmetry is P4/mmm, No. 123. For the calculated density, the calculation gives 6.78 g cm⁻³. Its spin magnetization is 0.0 μB per formula unit. The value obtained for the energy relative to the elements, uncorrected is -0.2645 eV/atom. The value obtained for the density of states at the Fermi level is 2.51 states/eV/f.u.

The structure in CIF format:
```
data_LaGaTe2N
_space_group_name_H-M_alt 'P 1'
_space_group_IT_number 1
_cell_length_a 5.562
_cell_length_b 5.562
_cell_length_c 3.785
_cell_angle_alpha 90.00
_cell_angle_beta 90.00
_cell_angle_gamma 90.00
loop_
_space_group_symop_operation_xyz
'x,y,z'
loop_
_atom_site_label
_atom_site_type_symbol
_atom_site_fract_x
_atom_site_fract_y
_atom_site_fract_z
La1 La 0.000 0.000 0.000
Ga1 Ga 0.500 0.500 0.500
Te1 Te 0.000 0.500 0.500
Te2 Te 0.500 0.000 0.500
N1 N 0.500 0.500 0.000
```



(5)
Here is a PBEsol-optimized structure of LaGaTeN2 from the Alexandria database. Energies are from SCAN.

Values from the calculation:
For the total energy, the calculation gives -22.739 eV/atom. The symmetry is P4/mmm, No. 123. For the calculated density, the calculation gives 6.45 g cm⁻³. Its spin magnetization is 2.0 μB per formula unit. The value obtained for the energy relative to the elements, uncorrected is 0.3177 eV/atom. The value obtained for the density of states at the Fermi level is 1.44 states/eV/f.u.

The structure in CIF format:
```
data_LaGaTeN2
_space_group_name_H-M_alt 'P 1'
_space_group_IT_number 1
_cell_length_a 4.254
_cell_length_b 4.254
_cell_length_c 5.184
_cell_angle_alpha 90.00
_cell_angle_beta 90.00
_cell_angle_gamma 90.00
loop_
_space_group_symop_operation_xyz
'x,y,z'
loop_
_atom_site_label
_atom_site_type_symbol
_atom_site_fract_x
_atom_site_fract_y
_atom_site_fract_z
La1 La 0.000 0.000 0.000
Ga1 Ga 0.500 0.500 0.500
Te1 Te 0.500 0.500 0.000
N1 N 0.000 0.500 0.500
N2 N 0.500 0.000 0.500
```



(6)
Here is a PBEsol-optimized structure of NaLa6Ga3S14 from the Alexandria database. Energies are from SCAN.

Values from the calculation:
For the total energy, the calculation gives -20.525 eV/atom. The symmetry is P3, No. 143. For the calculated density, the calculation gives 4.72 g cm⁻³. Its spin magnetization is 0.0 μB per formula unit. The value obtained for the energy relative to the elements, uncorrected is -1.9137 eV/atom. The value obtained for the density of states at the Fermi level is 0.00 states/eV/f.u.

The structure in CIF format:
```
data_NaLa6Ga3S14
_space_group_name_H-M_alt 'P 1'
_space_group_IT_number 1
_cell_length_a 10.117
_cell_length_b 10.117
_cell_length_c 6.013
_cell_angle_alpha 90.00
_cell_angle_beta 90.00
_cell_angle_gamma 120.00
loop_
_space_group_symop_operation_xyz
'x,y,z'
loop_
_atom_site_label
_atom_site_type_symbol
_atom_site_fract_x
_atom_site_fract_y
_atom_site_fract_z
Na1 Na 0.000 0.000 0.000
La1 La 0.141 0.374 0.764
La2 La 0.233 0.859 0.764
La3 La 0.375 0.235 0.274
La4 La 0.626 0.767 0.764
La5 La 0.765 0.139 0.274
La6 La 0.861 0.625 0.274
Ga1 Ga 0.000 0.000 0.496
Ga2 Ga 0.333 0.667 0.351
Ga3 Ga 0.667 0.333 0.854
S1 S 0.090 0.242 0.269
S2 S 0.096 0.578 0.500
S3 S 0.152 0.910 0.269
S4 S 0.239 0.147 0.723
S5 S 0.333 0.667 0.979
S6 S 0.422 0.519 0.500
S7 S 0.481 0.904 0.500
S8 S 0.515 0.096 0.001
S9 S 0.581 0.485 0.001
S10 S 0.667 0.333 0.482
S11 S 0.758 0.848 0.269
S12 S 0.853 0.092 0.723
S13 S 0.904 0.419 0.001
S14 S 0.908 0.761 0.723
```



(7)
Here is a PBEsol-optimized structure of NaLaGa4Se8 from the Alexandria database. Energies are from SCAN.

Values from the calculation:
For the total energy, the calculation gives -20.585 eV/atom. The symmetry is Fddd, No. 70. For the calculated density, the calculation gives 5.08 g cm⁻³. Its spin magnetization is 0.0 μB per formula unit. The value obtained for the energy relative to the elements, uncorrected is -1.0613 eV/atom. The value obtained for the density of states at the Fermi level is 0.00 states/eV/f.u.

The structure in CIF format:
```
data_NaLaGa4Se8
_space_group_name_H-M_alt 'P 1'
_space_group_IT_number 1
_cell_length_a 14.903
_cell_length_b 12.294
_cell_length_c 12.270
_cell_angle_alpha 74.71
_cell_angle_beta 52.72
_cell_angle_gamma 52.57
loop_
_space_group_symop_operation_xyz
'x,y,z'
loop_
_atom_site_label
_atom_site_type_symbol
_atom_site_fract_x
_atom_site_fract_y
_atom_site_fract_z
Na1 Na 0.122 0.122 0.628
Na2 Na 0.372 0.372 0.878
Na3 Na 0.628 0.628 0.122
Na4 Na 0.878 0.878 0.372
La1 La 0.125 0.125 0.125
La2 La 0.375 0.375 0.375
La3 La 0.625 0.625 0.625
La4 La 0.875 0.875 0.875
Ga1 Ga 0.028 0.473 0.861
Ga2 Ga 0.113 0.383 0.368
Ga3 Ga 0.138 0.861 0.473
Ga4 Ga 0.139 0.862 0.972
Ga5 Ga 0.364 0.632 0.617
Ga6 Ga 0.368 0.636 0.113
Ga7 Ga 0.383 0.113 0.636
Ga8 Ga 0.473 0.028 0.138
Ga9 Ga 0.527 0.972 0.862
Ga10 Ga 0.617 0.887 0.364
Ga11 Ga 0.632 0.364 0.887
Ga12 Ga 0.636 0.368 0.383
Ga13 Ga 0.861 0.138 0.028
Ga14 Ga 0.862 0.139 0.527
Ga15 Ga 0.887 0.617 0.632
Ga16 Ga 0.972 0.527 0.139
Se1 Se 0.085 0.591 0.912
Se2 Se 0.088 0.088 0.409
Se3 Se 0.088 0.088 0.915
Se4 Se 0.093 0.582 0.409
Se5 Se 0.152 0.845 0.665
Se6 Se 0.155 0.848 0.163
Se7 Se 0.163 0.335 0.155
Se8 Se 0.178 0.319 0.651
Se9 Se 0.319 0.178 0.353
Se10 Se 0.335 0.163 0.848
Se11 Se 0.349 0.647 0.822
Se12 Se 0.353 0.651 0.319
Se13 Se 0.409 0.416 0.093
Se14 Se 0.409 0.915 0.088
Se15 Se 0.416 0.409 0.582
Se16 Se 0.418 0.907 0.584
Se17 Se 0.582 0.093 0.416
Se18 Se 0.584 0.591 0.418
Se19 Se 0.591 0.085 0.912
Se20 Se 0.591 0.584 0.907
Se21 Se 0.647 0.349 0.681
Se22 Se 0.651 0.353 0.178
Se23 Se 0.665 0.837 0.152
Se24 Se 0.681 0.822 0.647
Se25 Se 0.822 0.681 0.349
Se26 Se 0.837 0.665 0.845
Se27 Se 0.845 0.152 0.837
Se28 Se 0.848 0.155 0.335
Se29 Se 0.907 0.418 0.591
Se30 Se 0.912 0.912 0.085
Se31 Se 0.912 0.912 0.591
Se32 Se 0.915 0.409 0.088
```



(8)
Here is a PBEsol-optimized structure of LaNb3Ga from the Alexandria database. Energies are from SCAN.

Values from the calculation:
For the total energy, the calculation gives -30.941 eV/atom. The symmetry is Pm-3m, No. 221. The calculation puts the calculated formation energy at 827 meV/atom. For the calculated density, the calculation gives 6.98 g cm⁻³. Its spin magnetization is 0.0 μB per formula unit. The value obtained for the density of states at the Fermi level is 10.04 states/eV/f.u.

The structure in CIF format:
```
data_LaNb3Ga
_space_group_name_H-M_alt 'P 1'
_space_group_IT_number 1
_cell_length_a 4.877
_cell_length_b 4.877
_cell_length_c 4.877
_cell_angle_alpha 90.00
_cell_angle_beta 90.00
_cell_angle_gamma 90.00
loop_
_space_group_symop_operation_xyz
'x,y,z'
loop_
_atom_site_label
_atom_site_type_symbol
_atom_site_fract_x
_atom_site_fract_y
_atom_site_fract_z
La1 La 0.000 0.000 0.000
Nb1 Nb 0.000 0.500 0.500
Nb2 Nb 0.500 0.000 0.500
Nb3 Nb 0.500 0.500 0.000
Ga1 Ga 0.500 0.500 0.500
```